1.
An optimized crystal structure of Mn2CrSi, computed with PBE.

abc: 4.489 4.489 4.489
angles: 133.81 133.81 67.38
Positions (direct):
Cr1 0.750 0.250 0.500
Mn1 0.000 0.000 0.000
Mn2 0.250 0.750 0.500
Si1 0.500 0.500 0.000

Summary:
The density of states at the Fermi level is 1.00 states/eV per atom. As for the crystal system: tetragonal. As for the magnetic moment: 1.6 μB per formula unit. The raw formation energy comes out at -0.19 eV/atom. Its symmetry is I-4m2 (119).

=====

2.
An optimized crystal structure of LiAlAgSn, computed with PBE.

abc: 4.743 4.743 4.743
angles: 60.00 60.00 60.00
Positions (direct):
Li1 0.500 0.500 0.500
Sn1 0.250 0.250 0.250
Ag1 0.750 0.750 0.750
Al1 0.000 0.000 0.000

Summary:
The formation energy is -0.0855 eV/atom. The density of states at the Fermi level is 0.65 states/eV per atom. As for the crystal system: cubic. As for the magnetic moment: 0.0 μB per formula unit. Its symmetry is F-43m (216).

=====

3.
An optimized crystal structure of TaGeCl2F, computed with PBE.

abc: 5.331 4.020 5.331
angles: 90.00 90.00 90.00
Positions (direct):
Ge1 0.000 0.000 0.000
Cl1 0.000 0.000 0.500
Cl2 0.500 0.000 0.000
F1 0.000 0.500 0.000
Ta1 0.500 0.500 0.500

Summary:
The density of states at the Fermi level is 0.60 states/eV per atom. As for the crystal system: tetragonal. As for the magnetic moment: 3.8 μB per formula unit. The raw formation energy comes out at 0.15 eV/atom. Its symmetry is P4/mmm (123).